Record 1
Compound: YGe6Se8
Source: Alexandria via LeMat-Bulk
Functional: PBE
Structure: optimized geometry

Structure (CIF):
```
data_YGe6Se8
_symmetry_space_group_name_H-M 'P 1'
_symmetry_Int_Tables_number 1
_cell_length_a 7.610
_cell_length_b 7.610
_cell_length_c 7.610
_cell_angle_alpha 77.25
_cell_angle_beta 77.25
_cell_angle_gamma 77.25
loop_
_symmetry_equiv_pos_as_xyz
'x,y,z'
loop_
_atom_site_label
_atom_site_fract_x
_atom_site_fract_y
_atom_site_fract_z
Ge1 0.362 0.599 0.125
Ge2 0.875 0.638 0.401
Se1 0.813 0.329 0.140
Ge3 0.599 0.125 0.362
Se2 0.720 0.720 0.720
Ge4 0.638 0.401 0.875
Ge5 0.125 0.362 0.599
Se3 0.860 0.187 0.671
Se4 0.187 0.671 0.860
Se5 0.329 0.140 0.813
Se6 0.140 0.813 0.329
Ge6 0.401 0.875 0.638
Se7 0.671 0.860 0.187
Y1 0.000 0.000 0.000
Se8 0.280 0.280 0.280
```

Results
Its symmetry is R-3 (148). As for the uncorrected formation energy: -0.4377 eV/atom. As for the density of states at the Fermi level: 0.49 states/eV per atom. For the magnetic moment, the calculation gives 0.0 μB per formula unit.


Record 2
Compound: Yb2GeSe4
Source: Alexandria via LeMat-Bulk
Functional: PBE
Structure: optimized geometry

Structure (CIF):
```
data_Yb2GeSe4
_symmetry_space_group_name_H-M 'P 1'
_symmetry_Int_Tables_number 1
_cell_length_a 6.983
_cell_length_b 6.860
_cell_length_c 7.955
_cell_angle_alpha 73.28
_cell_angle_beta 90.00
_cell_angle_gamma 90.00
loop_
_symmetry_equiv_pos_as_xyz
'x,y,z'
loop_
_atom_site_label
_atom_site_fract_x
_atom_site_fract_y
_atom_site_fract_z
Ge1 0.750 0.750 0.186
Ge2 0.250 0.250 0.814
Se1 0.506 0.497 0.753
Se2 0.994 0.497 0.753
Se3 0.494 0.503 0.247
Se4 0.250 0.072 0.596
Yb1 0.750 0.279 0.552
Yb2 0.750 0.260 0.063
Se5 0.750 0.936 0.880
Yb3 0.250 0.721 0.448
Se6 0.250 0.064 0.120
Se7 0.750 0.928 0.404
Yb4 0.250 0.740 0.937
Se8 0.006 0.503 0.247
```

Results
Its symmetry is P2_1/m (11). As for the uncorrected formation energy: -1.1515 eV/atom. As for the density of states at the Fermi level: 4.61 states/eV per atom. For the magnetic moment, the calculation gives 0.5 μB per formula unit.


Record 3
Compound: Zn2GeSe
Source: Alexandria via LeMat-Bulk
Functional: PBE
Structure: optimized geometry

Structure (CIF):
```
data_Zn2GeSe
_symmetry_space_group_name_H-M 'P 1'
_symmetry_Int_Tables_number 1
_cell_length_a 4.714
_cell_length_b 4.714
_cell_length_c 4.714
_cell_angle_alpha 60.00
_cell_angle_beta 60.00
_cell_angle_gamma 60.00
loop_
_symmetry_equiv_pos_as_xyz
'x,y,z'
loop_
_atom_site_label
_atom_site_fract_x
_atom_site_fract_y
_atom_site_fract_z
Zn1 0.750 0.750 0.750
Se1 0.500 0.500 0.500
Zn2 0.250 0.250 0.250
Ge1 0.000 0.000 0.000
```

Results
Its symmetry is Fm-3m (225). The value obtained for the energy above the most stable polymorph in this dataset is 335 meV/atom. As for the uncorrected formation energy: 0.2922 eV/atom. As for the density of states at the Fermi level: 0.95 states/eV per atom. For the magnetic moment, the calculation gives 0.0 μB per formula unit.


Record 4
Compound: Zn2GeSe
Source: Alexandria via LeMat-Bulk
Functional: PBE
Structure: optimized geometry

Structure (CIF):
```
data_Zn2GeSe
_symmetry_space_group_name_H-M 'P 1'
_symmetry_Int_Tables_number 1
_cell_length_a 6.050
_cell_length_b 6.050
_cell_length_c 6.713
_cell_angle_alpha 63.21
_cell_angle_beta 63.21
_cell_angle_gamma 90.00
loop_
_symmetry_equiv_pos_as_xyz
'x,y,z'
loop_
_atom_site_label
_atom_site_fract_x
_atom_site_fract_y
_atom_site_fract_z
Ge1 0.500 0.500 0.000
Se1 0.750 0.250 0.500
Zn1 0.629 0.125 0.250
Zn2 0.875 0.879 0.750
Ge2 0.250 0.750 0.500
Zn3 0.121 0.625 0.250
Zn4 0.375 0.371 0.750
Se2 0.000 0.000 0.000
```

Results
Its symmetry is I-42d (122). The value obtained for the energy above the most stable polymorph in this dataset is 0 meV/atom. As for the uncorrected formation energy: -0.0432 eV/atom. As for the density of states at the Fermi level: 0.10 states/eV per atom. For the magnetic moment, the calculation gives 0.0 μB per formula unit.


Record 5
Compound: ZrGe2Se4
Source: Alexandria via LeMat-Bulk
Functional: PBE
Structure: optimized geometry

Structure (CIF):
```
data_ZrGe2Se4
_symmetry_space_group_name_H-M 'P 1'
_symmetry_Int_Tables_number 1
_cell_length_a 6.370
_cell_length_b 6.370
_cell_length_c 6.370
_cell_angle_alpha 108.18
_cell_angle_beta 108.18
_cell_angle_gamma 112.08
loop_
_symmetry_equiv_pos_as_xyz
'x,y,z'
loop_
_atom_site_label
_atom_site_fract_x
_atom_site_fract_y
_atom_site_fract_z
Zr1 0.500 0.500 0.000
Se1 0.315 0.197 0.512
Ge1 0.250 0.750 0.500
Se2 0.685 0.803 0.488
Se3 0.803 0.315 0.118
Se4 0.197 0.685 0.882
Ge2 0.750 0.250 0.500
```

Results
Its symmetry is I4/m (87). As for the uncorrected formation energy: -0.2650 eV/atom. As for the density of states at the Fermi level: 0.41 states/eV per atom. For the magnetic moment, the calculation gives 0.2 μB per formula unit.


Record 6
Compound: ZrGe2Se6
Source: Alexandria via LeMat-Bulk
Functional: PBE
Structure: optimized geometry

Structure (CIF):
```
data_ZrGe2Se6
_symmetry_space_group_name_H-M 'P 1'
_symmetry_Int_Tables_number 1
_cell_length_a 6.805
_cell_length_b 8.649
_cell_length_c 8.649
_cell_angle_alpha 85.14
_cell_angle_beta 81.85
_cell_angle_gamma 81.85
loop_
_symmetry_equiv_pos_as_xyz
'x,y,z'
loop_
_atom_site_label
_atom_site_fract_x
_atom_site_fract_y
_atom_site_fract_z
Se1 0.618 0.958 0.822
Se2 0.132 0.466 0.288
Se3 0.361 0.397 0.879
Ge1 0.669 0.767 0.621
Se4 0.368 0.712 0.534
Se5 0.118 0.822 0.958
Ge2 0.331 0.233 0.379
Ge3 0.831 0.379 0.233
Se6 0.861 0.879 0.397
Ge4 0.169 0.621 0.767
Se7 0.632 0.288 0.466
Se8 0.139 0.121 0.603
Se9 0.639 0.603 0.121
Zr1 0.250 0.124 0.876
Zr2 0.750 0.876 0.124
Se10 0.882 0.178 0.042
Se11 0.382 0.042 0.178
Se12 0.868 0.534 0.712
```

Results
Its symmetry is C2/c (15). As for the uncorrected formation energy: -0.5056 eV/atom. As for the density of states at the Fermi level: 0.00 states/eV per atom. For the magnetic moment, the calculation gives 0.0 μB per formula unit.


Record 7
Compound: ZrGe3Se
Source: Alexandria via LeMat-Bulk
Functional: PBE
Structure: optimized geometry

Structure (CIF):
```
data_ZrGe3Se
_symmetry_space_group_name_H-M 'P 1'
_symmetry_Int_Tables_number 1
_cell_length_a 5.246
_cell_length_b 5.246
_cell_length_c 5.246
_cell_angle_alpha 90.00
_cell_angle_beta 90.00
_cell_angle_gamma 90.00
loop_
_symmetry_equiv_pos_as_xyz
'x,y,z'
loop_
_atom_site_label
_atom_site_fract_x
_atom_site_fract_y
_atom_site_fract_z
Ge1 0.000 0.000 0.500
Se1 0.500 0.500 0.500
Ge2 0.500 0.000 0.000
Ge3 0.000 0.500 0.000
Zr1 0.000 0.000 0.000
```

Results
Its symmetry is Pm-3m (221). The value obtained for the energy above the most stable polymorph in this dataset is 0 meV/atom. As for the uncorrected formation energy: 0.6531 eV/atom. As for the density of states at the Fermi level: 1.08 states/eV per atom. For the magnetic moment, the calculation gives 0.0 μB per formula unit.


Record 8
Compound: ZrGe3Se
Source: Alexandria via LeMat-Bulk
Functional: PBE
Structure: optimized geometry

Structure (CIF):
```
data_ZrGe3Se
_symmetry_space_group_name_H-M 'P 1'
_symmetry_Int_Tables_number 1
_cell_length_a 4.938
_cell_length_b 4.938
_cell_length_c 4.938
_cell_angle_alpha 90.00
_cell_angle_beta 90.00
_cell_angle_gamma 90.00
loop_
_symmetry_equiv_pos_as_xyz
'x,y,z'
loop_
_atom_site_label
_atom_site_fract_x
_atom_site_fract_y
_atom_site_fract_z
Ge1 0.500 0.000 0.000
Ge2 0.000 0.500 0.000
Zr1 0.500 0.500 0.500
Ge3 0.000 0.000 0.500
Se1 0.000 0.000 0.000
```

Results
Its symmetry is Pm-3m (221). The value obtained for the energy above the most stable polymorph in this dataset is 80 meV/atom. As for the uncorrected formation energy: 0.7334 eV/atom. As for the density of states at the Fermi level: 1.07 states/eV per atom. For the magnetic moment, the calculation gives 0.0 μB per formula unit.


Record 9
Compound: ZrGeSe4
Source: Alexandria via LeMat-Bulk
Functional: PBE
Structure: optimized geometry

Structure (CIF):
```
data_ZrGeSe4
_symmetry_space_group_name_H-M 'P 1'
_symmetry_Int_Tables_number 1
_cell_length_a 6.068
_cell_length_b 6.068
_cell_length_c 10.279
_cell_angle_alpha 90.00
_cell_angle_beta 90.00
_cell_angle_gamma 90.00
loop_
_symmetry_equiv_pos_as_xyz
'x,y,z'
loop_
_atom_site_label
_atom_site_fract_x
_atom_site_fract_y
_atom_site_fract_z
Ge1 0.500 0.000 0.750
Se1 0.721 0.246 0.622
Zr1 0.000 0.000 0.500
Se2 0.754 0.279 0.122
Se3 0.721 0.754 0.878
Se4 0.279 0.754 0.622
Se5 0.754 0.721 0.378
Se6 0.246 0.721 0.122
Ge2 0.000 0.500 0.250
Zr2 0.000 0.000 0.000
Se7 0.246 0.279 0.378
Se8 0.279 0.246 0.878
```

Results
Its symmetry is P-42c (112). As for the uncorrected formation energy: -0.5873 eV/atom. For the magnetic moment, the calculation gives 0.0 μB per formula unit.


Record 10
Compound: Zr2Ge2Se
Source: Alexandria via LeMat-Bulk
Functional: PBE
Structure: optimized geometry

Structure (CIF):
```
data_Zr2Ge2Se
_symmetry_space_group_name_H-M 'P 1'
_symmetry_Int_Tables_number 1
_cell_length_a 7.317
_cell_length_b 7.317
_cell_length_c 3.802
_cell_angle_alpha 90.00
_cell_angle_beta 90.00
_cell_angle_gamma 90.00
loop_
_symmetry_equiv_pos_as_xyz
'x,y,z'
loop_
_atom_site_label
_atom_site_fract_x
_atom_site_fract_y
_atom_site_fract_z
Ge1 0.379 0.121 0.500
Se1 0.500 0.500 0.000
Ge2 0.121 0.621 0.500
Zr1 0.675 0.175 0.000
Ge3 0.879 0.379 0.500
Zr2 0.175 0.325 0.000
Zr3 0.325 0.825 0.000
Se2 0.000 0.000 0.000
Ge4 0.621 0.879 0.500
Zr4 0.825 0.675 0.000
```

Results
Its symmetry is P4/mbm (127). As for the uncorrected formation energy: -0.7305 eV/atom. As for the density of states at the Fermi level: 0.45 states/eV per atom. For the magnetic moment, the calculation gives 0.0 μB per formula unit.


Record 11
Compound: ZrGe2Se
Source: Alexandria via LeMat-Bulk
Functional: PBE
Structure: optimized geometry

Structure (CIF):
```
data_ZrGe2Se
_symmetry_space_group_name_H-M 'P 1'
_symmetry_Int_Tables_number 1
_cell_length_a 7.685
_cell_length_b 7.685
_cell_length_c 6.107
_cell_angle_alpha 51.01
_cell_angle_beta 51.01
_cell_angle_gamma 90.00
loop_
_symmetry_equiv_pos_as_xyz
'x,y,z'
loop_
_atom_site_label
_atom_site_fract_x
_atom_site_fract_y
_atom_site_fract_z
Ge1 0.125 0.625 0.250
Zr1 0.750 0.250 0.500
Zr2 0.000 0.000 0.000
Ge2 0.875 0.875 0.750
Se1 0.250 0.750 0.500
Ge3 0.625 0.125 0.250
Ge4 0.375 0.375 0.750
Se2 0.500 0.500 0.000
```

Results
Its symmetry is I-42d (122). As for the uncorrected formation energy: -0.0463 eV/atom. As for the density of states at the Fermi level: 0.70 states/eV per atom. For the magnetic moment, the calculation gives 0.0 μB per formula unit.


Record 12
Compound: Zr4GeSe5
Source: Alexandria via LeMat-Bulk
Functional: PBE
Structure: optimized geometry

Structure (CIF):
```
data_Zr4GeSe5
_symmetry_space_group_name_H-M 'P 1'
_symmetry_Int_Tables_number 1
_cell_length_a 3.807
_cell_length_b 7.787
_cell_length_c 8.544
_cell_angle_alpha 101.34
_cell_angle_beta 102.87
_cell_angle_gamma 90.00
loop_
_symmetry_equiv_pos_as_xyz
'x,y,z'
loop_
_atom_site_label
_atom_site_fract_x
_atom_site_fract_y
_atom_site_fract_z
Zr1 0.335 0.922 0.670
Se1 0.500 0.500 0.000
Se2 0.166 0.325 0.332
Ge1 0.500 0.000 0.000
Se3 0.834 0.675 0.668
Zr2 0.665 0.078 0.330
Zr3 0.998 0.755 0.996
Se4 0.168 0.820 0.337
Zr4 0.002 0.245 0.004
Se5 0.832 0.180 0.663
```

Results
Its symmetry is C2/m (12). As for the uncorrected formation energy: -1.2133 eV/atom. As for the density of states at the Fermi level: 0.44 states/eV per atom. For the magnetic moment, the calculation gives 0.0 μB per formula unit.